This record from Alexandria describes an optimized crystal structure of HfGaCo2H. The functional is PBE-GGA.

It has space group Cmcm (No. 63), with a = 3.0860 Å, b = 10.9366 Å, c = 7.0145 Å, α = 90.00°, β = 90.00° and γ = 90.00°. The inequivalent atoms are Hf at (0.0000, 0.0207, 0.2500), Ga at (0.0000, 0.2528, 0.7500), Co at (0.0000, 0.3600, 0.0511) and H at (0.0000, 0.5000, 0.0000).

The value obtained for the energy is -6.4209 eV/atom. The density of states at the Fermi level is 11.77 states/eV/cell. The total magnetization comes out at 0.30 μB/f.u. Its crystal system is orthorhombic.

***

This record from Alexandria describes an optimized crystal structure of Ac4GaGeO. The functional is PBE-GGA.

It has space group Cmcm (No. 63), with a = 7.0507 Å, b = 17.5613 Å, c = 7.0466 Å, α = 90.00°, β = 90.00° and γ = 90.00°. The inequivalent atoms are Ac at (0.0000, 0.0617, 0.2500), Ac at (0.0000, 0.4314, 0.2500), Ac at (0.2500, 0.2500, 0.0000), Ga at (0.0000, 0.1179, 0.7500), Ge at (0.0000, 0.3827, 0.7500) and O at (0.0000, 0.2900, 0.2500).

The value obtained for the energy is -5.2176 eV/atom. The uncorrected formation energy is -1.070 eV/atom. The density of states at the Fermi level is 16.35 states/eV/cell. The total magnetization comes out at 0.00 μB/f.u. Its crystal system is orthorhombic.

***

This record from Alexandria describes an optimized crystal structure of Ca3MgCd8. The functional is PBE-GGA.

It has space group R3m (No. 160, hexagonal axes), with a = 5.9686 Å, b = 5.9686 Å, c = 29.2538 Å, α = 90.00°, β = 90.00° and γ = 120.00°. The inequivalent atoms are Ca at (0.0000, 0.0000, 0.0000), Ca at (0.0000, 0.0000, 0.1260), Ca at (0.0000, 0.0000, 0.6207), Mg at (0.0000, 0.0000, 0.4965), Cd at (0.0000, 0.0000, 0.3114), Cd at (0.0000, 0.0000, 0.8116), Cd at (0.0003, 0.5002, 0.0622) and Cd at (0.1671, 0.3342, 0.8944).

The value obtained for the energy is -1.4873 eV/atom. The density of states at the Fermi level is 19.38 states/eV/cell. The total magnetization comes out at 0.00 μB/f.u. Its crystal system is trigonal. The value obtained for the energy of formation is -0.24 eV per atom.

***

Which value of total magnetization does entry 1 give? 0.30 μB/f.u.